A plane-wave DFT calculation with PBE was carried out for a geometry-optimized LaB3O structure.

Unit cell a=4.0502 b=4.0502 c=4.0502 alpha=90.00 beta=90.00 gamma=90.00
With the nearest neighbours (Å) after each atom.
Atoms (fractional coordinates):
La: 0.0000 0.0000 0.0000  12 B 2.86
B: 0.0000 0.5000 0.5000  2 O 2.03
B: 0.5000 0.0000 0.5000  2 O 2.03
B: 0.5000 0.5000 0.0000  2 O 2.03
O: 0.5000 0.5000 0.5000  6 B 2.03

=====

A plane-wave DFT calculation with PBE was carried out for a geometry-optimized La5B3O13 structure.

Unit cell a=9.3506 b=9.3506 c=7.1765 alpha=90.00 beta=90.00 gamma=120.00
With the nearest neighbours (Å) after each atom.
Atoms (fractional coordinates):
La: 0.0185 0.2545 0.2500  4 O 2.30-2.50
La: 0.2360 0.9815 0.2500  4 O 2.30-2.50
La: 0.2545 0.2360 0.7500  4 O 2.30-2.50
La: 0.3333 0.6667 0.5026  6 O 2.47-2.51
La: 0.3333 0.6667 0.9974  6 O 2.47-2.51
La: 0.6667 0.3333 0.0026  6 O 2.47-2.51
La: 0.6667 0.3333 0.4974  6 O 2.47-2.51
La: 0.7455 0.7640 0.2500  4 O 2.30-2.50
La: 0.7640 0.0185 0.7500  4 O 2.30-2.50
La: 0.9815 0.7455 0.7500  4 O 2.30-2.50
B: 0.0333 0.4027 0.7500  4 O 1.48-1.50
B: 0.3693 0.9667 0.7500  4 O 1.48-1.50
B: 0.4027 0.3693 0.2500  4 O 1.48-1.50
B: 0.5973 0.6307 0.7500  4 O 1.48-1.50
B: 0.6307 0.0333 0.2500  4 O 1.48-1.50
B: 0.9667 0.5973 0.2500  4 O 1.48-1.50
O: 0.0000 0.0000 0.2500  3 La 2.30
O: 0.0000 0.0000 0.7500  3 La 2.30
O: 0.0860 0.3476 0.5808  1 B 1.50
O: 0.0860 0.3476 0.9192  1 B 1.50
O: 0.1239 0.5862 0.7500  1 B 1.49
O: 0.1479 0.6659 0.2500  1 B 1.48
O: 0.2616 0.9140 0.5808  1 B 1.50
O: 0.2616 0.9140 0.9192  1 B 1.50
O: 0.3341 0.4820 0.2500  1 B 1.48
O: 0.3476 0.2616 0.0808  1 B 1.50
O: 0.3476 0.2616 0.4192  1 B 1.50
O: 0.4138 0.5377 0.7500  1 B 1.49
O: 0.4623 0.8761 0.7500  1 B 1.49
O: 0.4820 0.1479 0.7500  1 B 1.48
O: 0.5180 0.8521 0.2500  1 B 1.48
O: 0.5377 0.1239 0.2500  1 B 1.49
O: 0.5862 0.4623 0.2500  1 B 1.49
O: 0.6524 0.7384 0.5808  1 B 1.50
O: 0.6524 0.7384 0.9192  1 B 1.50
O: 0.6659 0.5180 0.7500  1 B 1.48
O: 0.7384 0.0860 0.0808  1 B 1.50
O: 0.7384 0.0860 0.4192  1 B 1.50
O: 0.8521 0.3341 0.7500  1 B 1.48
O: 0.8761 0.4138 0.2500  1 B 1.49
O: 0.9140 0.6524 0.0808  1 B 1.50
O: 0.9140 0.6524 0.4192  1 B 1.50

=====

A plane-wave DFT calculation with PBE was carried out for a geometry-optimized LaB2O4 structure.

Unit cell a=5.3755 b=5.3755 c=5.3755 alpha=98.29 beta=98.29 gamma=135.36
With the nearest neighbours (Å) after each atom.
Atoms (fractional coordinates):
La: 0.0000 0.0000 0.0000  4 O 2.43
B: 0.2500 0.7500 0.5000  4 O 1.49
B: 0.7500 0.2500 0.5000  4 O 1.49
O: 0.0022 0.3454 0.3476  2 B 1.49
O: 0.3454 0.9978 0.3432  2 B 1.49
O: 0.6546 0.0022 0.6568  2 B 1.49
O: 0.9978 0.6546 0.6524  2 B 1.49

=====

A plane-wave DFT calculation with PBE was carried out for a geometry-optimized LaBP2O structure.

Unit cell a=3.7850 b=3.7850 c=5.5967 alpha=90.00 beta=90.00 gamma=90.00
With the nearest neighbours (Å) after each atom.
Atoms (fractional coordinates):
La: 0.0000 0.0000 0.0000  4 O 2.68
B: 0.5000 0.5000 0.5000  4 P 1.89
P: 0.0000 0.5000 0.5000  2 B 1.89
P: 0.5000 0.0000 0.5000  2 B 1.89
O: 0.5000 0.5000 0.0000  4 La 2.68, 2 B 2.80

=====

A plane-wave DFT calculation with PBE was carried out for a geometry-optimized LaBP2O structure.

Unit cell a=5.7953 b=5.7953 c=4.2715 alpha=90.00 beta=90.00 gamma=90.00
With the nearest neighbours (Å) after each atom.
Atoms (fractional coordinates):
La: 0.0000 0.0000 0.0000  2 O 2.14
B: 0.5000 0.5000 0.5000  8 P 3.60
P: 0.0000 0.5000 0.0000  2 La 2.90
P: 0.5000 0.0000 0.0000  2 La 2.90
O: 0.0000 0.0000 0.5000  2 La 2.14

=====

A plane-wave DFT calculation with PBE was carried out for a geometry-optimized LaPaB2O8 structure.

Unit cell a=6.6715 b=6.6715 c=6.6715 alpha=138.42 beta=138.42 gamma=60.26
With the nearest neighbours (Å) after each atom.
Atoms (fractional coordinates):
La: 0.0000 0.0000 0.0000  8 O 2.45-2.55
Pa: 0.2500 0.7500 0.5000  8 O 2.27-2.41
B: 0.5000 0.5000 0.0000  4 O 1.49
B: 0.7500 0.2500 0.5000  4 O 1.49
O: 0.3339 0.4835 0.6685  1 B 1.49
O: 0.3346 0.6661 0.1496  1 B 1.49
O: 0.4423 0.0649 0.1318  1 B 1.49
O: 0.5165 0.1850 0.8504  1 B 1.49
O: 0.6895 0.5577 0.6227  1 B 1.49
O: 0.8150 0.6654 0.3315  1 B 1.49
O: 0.9332 0.3105 0.8682  1 B 1.49
O: 0.9351 0.0668 0.3773  1 B 1.49

=====

A plane-wave DFT calculation with PBE was carried out for a geometry-optimized LaBPbO2 structure.

Unit cell a=4.4604 b=4.4604 c=4.3857 alpha=90.00 beta=90.00 gamma=90.00
With the nearest neighbours (Å) after each atom.
Atoms (fractional coordinates):
La: 0.0000 0.0000 0.0000  8 O 3.13, 4 B 3.15
B: 0.5000 0.5000 0.0000  2 Pb 2.19
Pb: 0.5000 0.5000 0.5000  2 B 2.19, 4 O 2.23
O: 0.0000 0.5000 0.5000  2 Pb 2.23
O: 0.5000 0.0000 0.5000  2 Pb 2.23

=====

A plane-wave DFT calculation with PBE was carried out for a geometry-optimized LaB2PbO6 structure.

Unit cell a=6.6673 b=6.6673 c=6.7648 alpha=101.34 beta=101.34 gamma=99.72
With the nearest neighbours (Å) after each atom.
Atoms (fractional coordinates):
La: 0.1028 0.8972 0.7500  6 O 2.43-2.44
La: 0.8972 0.1028 0.2500  6 O 2.43-2.44
B: 0.0935 0.4023 0.7521  3 O 1.37-1.40
B: 0.4023 0.0935 0.2521  3 O 1.37-1.40
B: 0.5977 0.9065 0.7479  3 O 1.37-1.40
B: 0.9065 0.5977 0.2479  3 O 1.37-1.40
Pb: 0.4063 0.5937 0.2500  6 O 2.38-2.43
Pb: 0.5937 0.4063 0.7500  6 O 2.38-2.43
O: 0.0370 0.2045 0.6236  1 B 1.37
O: 0.0419 0.4620 0.2423  1 B 1.38
O: 0.2045 0.0370 0.1236  1 B 1.37
O: 0.2980 0.4768 0.8771  1 B 1.40
O: 0.4620 0.0419 0.7423  1 B 1.38
O: 0.4768 0.2980 0.3771  1 B 1.40
O: 0.5232 0.7020 0.6229  1 B 1.40
O: 0.5380 0.9581 0.2577  1 B 1.38
O: 0.7020 0.5232 0.1229  1 B 1.40
O: 0.7955 0.9630 0.8764  1 B 1.37
O: 0.9581 0.5380 0.7577  1 B 1.38
O: 0.9630 0.7955 0.3764  1 B 1.37

=====

A plane-wave DFT calculation with PBE was carried out for a geometry-optimized LaB4Pd3O12 structure.

Unit cell a=6.2934 b=6.2934 c=6.2934 alpha=102.92 beta=102.92 gamma=102.92
With the nearest neighbours (Å) after each atom.
Atoms (fractional coordinates):
La: 0.0000 0.0000 0.0000  6 O 2.45
B: 0.0511 0.5000 0.9489  3 O 1.37-1.42
B: 0.5000 0.5000 0.5000  3 O 1.39
B: 0.5000 0.9489 0.0511  3 O 1.37-1.42
B: 0.9489 0.0511 0.5000  3 O 1.37-1.42
Pd: 0.0000 0.5470 0.4530  6 O 2.10-2.15
Pd: 0.4530 0.0000 0.5470  6 O 2.10-2.15
Pd: 0.5470 0.4530 0.0000  6 O 2.10-2.15
O: 0.0245 0.6282 0.8012  1 B 1.37
O: 0.0927 0.9073 0.5000  1 B 1.42
O: 0.1988 0.3718 0.9755  1 B 1.37
O: 0.3591 0.6409 0.5000  1 B 1.39
O: 0.3718 0.9755 0.1988  1 B 1.37
O: 0.5000 0.0927 0.9073  1 B 1.42
O: 0.5000 0.3591 0.6409  1 B 1.39
O: 0.6282 0.8012 0.0245  1 B 1.37
O: 0.6409 0.5000 0.3591  1 B 1.39
O: 0.8012 0.0245 0.6282  1 B 1.37
O: 0.9073 0.5000 0.0927  1 B 1.42
O: 0.9755 0.1988 0.3718  1 B 1.37

=====

A plane-wave DFT calculation with PBE was carried out for a geometry-optimized LaB2PdO6 structure.

Unit cell a=6.2880 b=6.2880 c=6.2880 alpha=46.61 beta=46.61 gamma=46.61
With the nearest neighbours (Å) after each atom.
Atoms (fractional coordinates):
La: 0.0000 0.0000 0.0000  6 O 2.45
B: 0.2375 0.2375 0.2375  3 O 1.39
B: 0.7625 0.7625 0.7625  3 O 1.39
Pd: 0.5000 0.5000 0.5000  6 O 2.13
O: 0.0496 0.4955 0.7278  1 B 1.39
O: 0.2722 0.9504 0.5045  1 B 1.39
O: 0.4955 0.7278 0.0496  1 B 1.39
O: 0.5045 0.2722 0.9504  1 B 1.39
O: 0.7278 0.0496 0.4955  1 B 1.39
O: 0.9504 0.5045 0.2722  1 B 1.39

=====

A plane-wave DFT calculation with PBE was carried out for a geometry-optimized LaPuB2O8 structure.

Unit cell a=5.0428 b=5.0428 c=7.0153 alpha=90.00 beta=90.00 gamma=120.00
With the nearest neighbours (Å) after each atom.
Atoms (fractional coordinates):
La: 0.0000 0.0000 0.0000  12 O 2.64-2.92
Pu: 0.0000 0.0000 0.5000  6 O 2.03
B: 0.3333 0.6667 0.2270  4 O 1.39-1.50
B: 0.6667 0.3333 0.7730  4 O 1.39-1.50
O: 0.1744 0.3489 0.3077  1 B 1.50
O: 0.1744 0.8256 0.3077  1 B 1.50
O: 0.3333 0.6667 0.0289  1 B 1.39
O: 0.3489 0.1744 0.6923  1 B 1.50
O: 0.6511 0.8256 0.3077  1 B 1.50
O: 0.6667 0.3333 0.9711  1 B 1.39
O: 0.8256 0.1744 0.6923  1 B 1.50
O: 0.8256 0.6511 0.6923  1 B 1.50

=====

A plane-wave DFT calculation with PBE was carried out for a geometry-optimized Rb2LaBO4 structure.

Unit cell a=13.6772 b=12.6924 c=6.3655 alpha=84.83 beta=67.55 gamma=27.61
With the nearest neighbours (Å) after each atom.
Atoms (fractional coordinates):
Rb: 0.0609 0.0609 0.6891  4 O 3.04-3.18
Rb: 0.3109 0.3109 0.9391  4 O 3.04-3.18
Rb: 0.6891 0.6891 0.0609  4 O 3.04-3.18
Rb: 0.9391 0.9391 0.3109  4 O 3.04-3.18
La: 0.1250 0.1250 0.1250  4 O 2.23
La: 0.8750 0.8750 0.8750  4 O 2.23
B: 0.3750 0.3750 0.3750  4 O 1.53
B: 0.6250 0.6250 0.6250  4 O 1.53
O: 0.1006 0.5796 0.4899  1 B 1.53
O: 0.3299 0.4899 0.5796  1 B 1.53
O: 0.4204 0.8994 0.6701  1 B 1.53
O: 0.4899 0.3299 0.1006  1 B 1.53
O: 0.5101 0.6701 0.8994  1 B 1.53
O: 0.5796 0.1006 0.3299  1 B 1.53
O: 0.6701 0.5101 0.4204  1 B 1.53
O: 0.8994 0.4204 0.5101  1 B 1.53

=====

A plane-wave DFT calculation with PBE was carried out for a geometry-optimized RbLa2BO structure.

Unit cell a=4.9298 b=4.9298 c=5.1434 alpha=90.00 beta=90.00 gamma=90.00
With the nearest neighbours (Å) after each atom.
Atoms (fractional coordinates):
Rb: 0.0000 0.0000 0.0000  2 O 2.57
La: 0.0000 0.5000 0.5000  2 O 2.46
La: 0.5000 0.0000 0.5000  2 O 2.46
B: 0.5000 0.5000 0.0000  4 Rb 3.49, 8 La 3.56
O: 0.0000 0.0000 0.5000  4 La 2.46, 2 Rb 2.57

=====

A plane-wave DFT calculation with PBE was carried out for a geometry-optimized Rb3La3B4O12 structure.

Unit cell a=11.1142 b=9.3718 c=14.6487 alpha=90.00 beta=110.18 gamma=90.00
With the nearest neighbours (Å) after each atom.
Atoms (fractional coordinates):
Rb: 0.0805 0.1483 0.4149  6 O 2.96-3.06, 2 B 3.22-3.29
Rb: 0.0805 0.8517 0.9149  6 O 2.96-3.06, 2 B 3.22-3.29
Rb: 0.2979 0.4301 0.8997  5 O 2.88-3.21, 1 B 3.13
Rb: 0.2979 0.5699 0.3997  5 O 2.88-3.21, 1 B 3.13
Rb: 0.3917 0.0779 0.0411  6 O 2.81-3.15
Rb: 0.3917 0.9221 0.5411  6 O 2.81-3.15
Rb: 0.6083 0.0779 0.4589  6 O 2.81-3.15
Rb: 0.6083 0.9221 0.9589  6 O 2.81-3.15
Rb: 0.7021 0.4301 0.6003  5 O 2.88-3.21, 1 B 3.13
Rb: 0.7021 0.5699 0.1003  5 O 2.88-3.21, 1 B 3.13
Rb: 0.9195 0.1483 0.0851  6 O 2.96-3.06, 2 B 3.22-3.29
Rb: 0.9195 0.8517 0.5851  6 O 2.96-3.06, 2 B 3.22-3.29
La: 0.0000 0.1907 0.7500  5 O 2.31-2.47
La: 0.0000 0.8093 0.2500  5 O 2.31-2.47
La: 0.1636 0.4699 0.6177  6 O 2.34-2.61
La: 0.1636 0.5301 0.1177  6 O 2.34-2.61
La: 0.2900 0.1998 0.2527  6 O 2.34-2.54
La: 0.2900 0.8002 0.7527  6 O 2.34-2.54
La: 0.5000 0.2605 0.7500  4 O 2.40-2.50
La: 0.5000 0.7395 0.2500  4 O 2.40-2.50
La: 0.7100 0.1998 0.2473  6 O 2.34-2.54
La: 0.7100 0.8002 0.7473  6 O 2.34-2.54
La: 0.8364 0.4699 0.8823  6 O 2.34-2.61
La: 0.8364 0.5301 0.3823  6 O 2.34-2.61
B: 0.0000 0.4150 0.2500  3 O 1.38-1.39
B: 0.0000 0.5850 0.7500  3 O 1.38-1.39
B: 0.1274 0.2612 0.9939  3 O 1.37-1.40
B: 0.1274 0.7388 0.4939  3 O 1.37-1.40
B: 0.2381 0.1043 0.7189  3 O 1.38-1.41
B: 0.2381 0.8957 0.2189  3 O 1.38-1.41
B: 0.3746 0.2697 0.5153  3 O 1.38-1.40
B: 0.3746 0.7303 0.0153  3 O 1.38-1.40
B: 0.5000 0.4088 0.2500  3 O 1.39-1.40
B: 0.5000 0.5912 0.7500  3 O 1.39-1.40
B: 0.6254 0.2697 0.9847  3 O 1.38-1.40
B: 0.6254 0.7303 0.4847  3 O 1.38-1.40
B: 0.7619 0.1043 0.7811  3 O 1.38-1.41
B: 0.7619 0.8957 0.2811  3 O 1.38-1.41
B: 0.8726 0.2612 0.5061  3 O 1.37-1.40
B: 0.8726 0.7388 0.0061  3 O 1.37-1.40
O: 0.0000 0.4374 0.7500  1 B 1.38
O: 0.0000 0.5626 0.2500  1 B 1.38
O: 0.0297 0.3615 0.9795  1 B 1.40
O: 0.0297 0.6385 0.4795  1 B 1.40
O: 0.0993 0.3446 0.2314  1 B 1.39
O: 0.0993 0.6554 0.7314  1 B 1.39
O: 0.1291 0.1646 0.9244  1 B 1.37
O: 0.1291 0.8354 0.4244  1 B 1.37
O: 0.1442 0.0072 0.7240  1 B 1.41
O: 0.1442 0.9928 0.2240  1 B 1.41
O: 0.2153 0.2497 0.7195  1 B 1.39
O: 0.2153 0.7503 0.2195  1 B 1.39
O: 0.2271 0.2738 0.0838  1 B 1.40
O: 0.2271 0.7262 0.5838  1 B 1.40
O: 0.2860 0.3544 0.5386  1 B 1.40
O: 0.2860 0.6456 0.0386  1 B 1.40
O: 0.3436 0.2139 0.4215  1 B 1.40
O: 0.3436 0.7861 0.9215  1 B 1.40
O: 0.3529 0.0496 0.7173  1 B 1.38
O: 0.3529 0.9504 0.2173  1 B 1.38
O: 0.3895 0.4814 0.2471  1 B 1.39
O: 0.3895 0.5186 0.7471  1 B 1.39
O: 0.4921 0.2375 0.5850  1 B 1.38
O: 0.4921 0.7625 0.0850  1 B 1.38
O: 0.5000 0.2594 0.2500  1 B 1.40
O: 0.5000 0.7406 0.7500  1 B 1.40
O: 0.5079 0.2375 0.9150  1 B 1.38
O: 0.5079 0.7625 0.4150  1 B 1.38
O: 0.6105 0.4814 0.2529  1 B 1.39
O: 0.6105 0.5186 0.7529  1 B 1.39
O: 0.6471 0.0496 0.7827  1 B 1.38
O: 0.6471 0.9504 0.2827  1 B 1.38
O: 0.6564 0.2139 0.0785  1 B 1.40
O: 0.6564 0.7861 0.5785  1 B 1.40
O: 0.7140 0.3544 0.9614  1 B 1.40
O: 0.7140 0.6456 0.4614  1 B 1.40
O: 0.7729 0.2738 0.4162  1 B 1.40
O: 0.7729 0.7262 0.9162  1 B 1.40
O: 0.7847 0.2497 0.7805  1 B 1.39
O: 0.7847 0.7503 0.2805  1 B 1.39
O: 0.8558 0.0072 0.7760  1 B 1.41
O: 0.8558 0.9928 0.2760  1 B 1.41
O: 0.8709 0.1646 0.5756  1 B 1.37
O: 0.8709 0.8354 0.0756  1 B 1.37
O: 0.9007 0.3446 0.2686  1 B 1.39
O: 0.9007 0.6554 0.7686  1 B 1.39
O: 0.9703 0.3615 0.5205  1 B 1.40
O: 0.9703 0.6385 0.0205  1 B 1.40

=====

A plane-wave DFT calculation with PBE was carried out for a geometry-optimized LaBRhO5 structure.

Unit cell a=5.4712 b=5.4712 c=6.9031 alpha=103.05 beta=103.05 gamma=107.98
With the nearest neighbours (Å) after each atom.
Atoms (fractional coordinates):
La: 0.1457 0.8543 0.7500  5 O 2.39-2.43
La: 0.8543 0.1457 0.2500  5 O 2.39-2.43
B: 0.1948 0.8052 0.2500  4 O 1.47-1.55
B: 0.8052 0.1948 0.7500  4 O 1.47-1.55
Rh: 0.5000 0.5000 0.0000  2 O 1.88
Rh: 0.5000 0.5000 0.5000  2 O 1.88
O: 0.0798 0.2537 0.9146  1 B 1.55
O: 0.1777 0.6098 0.3674  1 B 1.47
O: 0.2537 0.0798 0.4146  1 B 1.55
O: 0.3902 0.8223 0.1326  1 B 1.47
O: 0.4157 0.5843 0.7500  2 Rh 1.88
O: 0.5843 0.4157 0.2500  2 Rh 1.88
O: 0.6098 0.1777 0.8674  1 B 1.47
O: 0.7463 0.9202 0.5854  1 B 1.55
O: 0.8223 0.3902 0.6326  1 B 1.47
O: 0.9202 0.7463 0.0854  1 B 1.55

=====

A plane-wave DFT calculation with PBE was carried out for a geometry-optimized LaSc3B4O12 structure.

Unit cell a=6.3154 b=6.3154 c=6.3154 alpha=103.22 beta=103.22 gamma=103.22
With the nearest neighbours (Å) after each atom.
Atoms (fractional coordinates):
La: 0.0000 0.0000 0.0000  6 O 2.49
Sc: 0.0000 0.5481 0.4519  6 O 2.08-2.15
Sc: 0.4519 0.0000 0.5481  6 O 2.08-2.15
Sc: 0.5481 0.4519 0.0000  6 O 2.08-2.15
B: 0.0499 0.5000 0.9501  3 O 1.38-1.39
B: 0.5000 0.5000 0.5000  3 O 1.39
B: 0.5000 0.9501 0.0499  3 O 1.38-1.39
B: 0.9501 0.0499 0.5000  3 O 1.38-1.39
O: 0.0299 0.6257 0.7979  1 B 1.38
O: 0.0903 0.9097 0.5000  1 B 1.39
O: 0.2021 0.3743 0.9701  1 B 1.38
O: 0.3596 0.6404 0.5000  1 B 1.39
O: 0.3743 0.9701 0.2021  1 B 1.38
O: 0.5000 0.0903 0.9097  1 B 1.39
O: 0.5000 0.3596 0.6404  1 B 1.39
O: 0.6257 0.7979 0.0299  1 B 1.38
O: 0.6404 0.5000 0.3596  1 B 1.39
O: 0.7979 0.0299 0.6257  1 B 1.38
O: 0.9097 0.5000 0.0903  1 B 1.39
O: 0.9701 0.2021 0.3743  1 B 1.38

=====

no.,spin magnetization (μB per formula unit),density of states at the Fermi level (states/eV/cell),VASP energy (eV/atom)
1,0.0,5.0,-4.714
2,2.1,31.3,-8.164
3,0.0,1.1,-7.913
4,0.0,1.1,-6.003
5,2.6,4.9,-4.486
6,2.1,4.9,-8.182
7,1.6,2.1,-5.481
8,0.0,2.7,-7.538
9,1.4,8.3,-7.025
10,1.0,4.8,-7.469
11,0.9,4.8,-8.440
12,0.0,0.0,-6.176
13,0.0,4.1,-4.819
14,0.0,0.0,-7.478
15,0.3,8.1,-7.558
16,0.0,0.0,-8.559